# 1
A relaxed structure of LaYAl, computed with PBE.

Calculated values
For the formation energy from the elements, the calculation gives -0.7 eV per formula unit. As for the total magnetization: 0.0 μB/f.u. The energy relative to the lowest polymorph listed for this composition comes out at 17 meV/atom. The calculation puts the density of states at the Fermi level at 3.74 states/eV per cell. Its total energy is -5.27 eV per atom.

Lattice parameters (Å, degrees): 7.386 7.386 7.386 152.21 152.21 39.71
Element x y z (fractional)
La  0.000  0.000  0.000
Y  0.288  0.288  0.000
Al  0.653  0.653  0.000

---

# 2
A relaxed structure of La2Y2Al, computed with PBE.

Calculated values
For the formation energy from the elements, the calculation gives 0.1 eV per formula unit. As for the total magnetization: 0.0 μB/f.u. The calculation puts the density of states at the Fermi level at 10.68 states/eV per cell. Its total energy is -5.29 eV per atom.

Lattice parameters (Å, degrees): 8.014 8.014 5.042 90.00 90.00 90.00
Element x y z (fractional)
La  0.156  0.344  0.000
La  0.344  0.844  0.000
La  0.656  0.156  0.000
La  0.844  0.656  0.000
Y  0.152  0.652  0.500
Y  0.348  0.152  0.500
Y  0.652  0.848  0.500
Y  0.848  0.348  0.500
Al  0.000  0.000  0.500
Al  0.500  0.500  0.500

---

Q: What is the formula in the second record?
A: La2Y2Al